1.
Density functional theory data (PBE-GGA) for a relaxed La2GaSn4Pt3 crystal.

a b c (Å): 4.609 4.609 11.016
angles (deg): 90.00 90.00 90.00
Atoms (fractional coordinates):
La 0.500 0.000 0.255
La 0.000 0.500 0.745
Ga 0.500 0.500 0.500
Sn 0.500 0.500 0.000
Sn 0.000 0.000 0.000
Sn 0.500 0.000 0.635
Sn 0.000 0.500 0.365
Pt 0.000 0.000 0.500
Pt 0.500 0.000 0.872
Pt 0.000 0.500 0.128

## Properties
**Symmetry**: No. 115
**Calculated density**: 9.990 g/cm³
**Total moment**: 0.0 Bohr magnetons per cell
**Uncorrected energy**: -5.520 eV/atom
**Formation energy**: -818 meV/atom

---

2.
Density functional theory data (PBE-GGA) for a relaxed La3Ga2SnPt9 crystal.

a b c (Å): 6.647 6.647 9.222
angles (deg): 90.00 90.00 120.00
Atoms (fractional coordinates):
La 0.333 0.667 0.739
La 0.000 0.000 0.000
La 0.667 0.333 0.261
Ga 0.333 0.667 0.181
Ga 0.667 0.333 0.819
Sn 0.000 0.000 0.500
Pt 0.861 0.139 0.731
Pt 0.861 0.722 0.731
Pt 0.278 0.139 0.731
Pt 0.722 0.861 0.269
Pt 0.139 0.278 0.269
Pt 0.139 0.861 0.269
Pt 0.500 0.000 0.000
Pt 0.000 0.500 0.000
Pt 0.500 0.500 0.000

## Properties
**Symmetry**: No. 164
**Calculated density**: 11.437 g/cm³
**Total moment**: 0.0 Bohr magnetons per cell
**Uncorrected energy**: -5.928 eV/atom
**Formation energy**: -647 meV/atom

---

3.
Density functional theory data (PBE-GGA) for a relaxed La2GaSn3Pt4 crystal.

a b c (Å): 4.604 4.604 10.581
angles (deg): 90.00 90.00 90.00
Atoms (fractional coordinates):
La 0.500 0.000 0.252
La 0.000 0.500 0.748
Ga 0.500 0.500 0.500
Sn 0.000 0.000 0.500
Sn 0.500 0.000 0.870
Sn 0.000 0.500 0.130
Pt 0.500 0.500 0.000
Pt 0.000 0.000 0.000
Pt 0.500 0.000 0.623
Pt 0.000 0.500 0.377

## Properties
**Symmetry**: No. 115
**Calculated density**: 10.989 g/cm³
**Total moment**: 0.0 Bohr magnetons per cell
**Uncorrected energy**: -5.825 eV/atom
**Formation energy**: -920 meV/atom